[1]
The following is a DFT calculation (PBE) of a geometry-optimized BiPbAuSe3 structure.

Cell and atoms, written as extended XYZ:
```
12
Lattice="4.1698 0.0000 0.0000 0.0000 8.4032 0.1852 0.0000 -2.0451 9.4072" Properties=species:S:1:pos:R:3 pbc="T T T"
Bi 1.0425 5.3563 1.5206
Bi 3.1274 1.0019 8.0718
Pb 1.0425 1.0141 2.7018
Pb 3.1274 5.3441 6.8906
Au 1.0425 -0.5084 5.5827
Au 3.1274 6.8666 4.0097
Se 3.1274 7.4316 1.4246
Se 1.0425 -1.0734 8.1678
Se 1.0425 5.1291 4.6555
Se 3.1274 1.2291 4.9369
Se 3.1274 3.2115 1.5174
Se 1.0425 3.1467 8.0750
```

magnetic moment	0.0	Bohr magnetons per cell
uncorrected formation energy	-1.69	eV per formula unit

---

[2]
The following is a DFT calculation (PBE) of a geometry-optimized Pm2MgCu16 structure.

Cell and atoms, written as extended XYZ:
```
19
Lattice="6.5022 0.0457 0.7839 0.7005 6.4645 0.7839 0.0505 0.0457 6.5491" Properties=species:S:1:pos:R:3 pbc="T T T"
Pm 4.6927 4.2416 5.2515
Pm 2.4712 2.2336 2.7654
Mg 6.5783 5.9458 7.3616
Cu 4.5873 0.0499 2.5085
Cu 0.2490 1.9637 4.8394
Cu 2.4354 4.5589 0.7896
Cu 0.5118 4.5589 2.5085
Cu 4.7811 1.9637 0.7896
Cu 1.9788 0.0499 4.8394
Cu 2.8398 5.5019 3.1779
Cu 5.7600 2.2710 3.1779
Cu 2.5126 2.2710 6.0798
Cu 4.3905 1.0674 4.9133
Cu 1.5043 4.2606 4.9133
Cu 4.7138 4.2606 2.0452
Cu 0.3568 3.2156 0.3993
Cu 3.2352 0.0310 0.3993
Cu 0.0343 0.0310 3.2596
Cu 0.7667 0.6930 0.8580
```

magnetic moment	0.0	Bohr magnetons per cell
energy of formation from the pure elements	-0.127	eV/atom

---

[3]
The following is a DFT calculation (PBE) of a geometry-optimized HfSnPd6 structure.

Cell and atoms, written as extended XYZ:
```
8
Lattice="4.0296 0.0000 0.0000 0.0000 4.0296 0.0000 0.0000 0.0000 8.0385" Properties=species:S:1:pos:R:3 pbc="T T T"
Hf 0.0000 0.0000 4.0193
Sn 0.0000 0.0000 0.0000
Pd 2.0148 2.0148 0.0000
Pd 2.0148 2.0148 4.0193
Pd 2.0148 0.0000 2.0503
Pd 2.0148 0.0000 5.9882
Pd 0.0000 2.0148 2.0503
Pd 0.0000 2.0148 5.9882
```

magnetic moment	0.0	Bohr magnetons per cell
energy of formation from the pure elements	-0.699	eV/atom